Entry 1:
# Ho2Tm6Ni

Ho2Tm6Ni after structural relaxation (GGA-PBE, Alexandria via LeMat-Bulk).

Its calculated formation energy is 0.113 eV per atom. Its symmetry is Cmmm, No. 65.

Structure (POSCAR):
```
Ho2Tm6Ni
1.0
-0.350 -3.330 -1.082
4.515 -2.827 7.240
-9.442 0.796 0.619
Tm Ho Ni
6 2 1
Direct
0.000 0.334 0.326
0.000 0.993 0.326
0.000 0.666 0.674
0.000 0.007 0.674
0.500 0.238 0.000
0.500 0.762 0.000
0.500 0.327 0.654
0.500 0.673 0.346
0.000 0.000 0.000
```

=====

Entry 2:
# Sr3Li2Bi4Rh2

Sr3Li2Bi4Rh2 after structural relaxation (GGA-PBE, Alexandria via LeMat-Bulk).

Its calculated formation energy is -0.536 eV per atom. Its symmetry is P-3m1, No. 164.

Structure (POSCAR):
```
Sr3Li2Bi4Rh2
1.0
4.720 0.000 0.000
-2.360 4.087 0.000
0.000 0.000 16.247
Bi Sr Li Rh
4 3 2 2
Direct
0.667 0.333 0.136
0.333 0.667 0.864
0.333 0.667 0.405
0.667 0.333 0.595
0.000 0.000 0.275
0.000 0.000 0.000
0.000 0.000 0.725
0.333 0.667 0.134
0.667 0.333 0.866
0.333 0.667 0.567
0.667 0.333 0.433
```

=====

Entry 3:
# Ca2MgCr

Ca2MgCr after structural relaxation (GGA-PBE, Alexandria via LeMat-Bulk).

Its calculated formation energy is 0.584 eV per atom. Its symmetry is I-42d, No. 122.

Structure (POSCAR):
```
Ca2MgCr
1.0
-5.074 -4.223 5.543
6.486 -5.370 1.845
1.673 -2.804 6.097
Ca Cr Mg
4 2 2
Direct
0.105 0.625 0.250
0.375 0.355 0.750
0.645 0.125 0.250
0.875 0.895 0.750
0.000 0.000 0.000
0.750 0.250 0.500
0.500 0.500 0.000
0.250 0.750 0.500
```

=====

Entry 4:
# LaMn

LaMn after structural relaxation (GGA-PBE, Alexandria via LeMat-Bulk).

Its calculated formation energy is 0.380 eV per atom. Its symmetry is Amm2, No. 38.

Structure (POSCAR):
```
LaMn
1.0
2.112 -6.782 0.000
2.112 6.782 0.000
0.000 0.000 5.044
Mn La
3 3
Direct
0.632 0.368 0.000
0.538 0.462 0.500
0.122 0.878 0.500
0.252 0.748 0.000
0.800 0.200 0.500
0.990 0.010 0.000
```

=====

Entry 5:
# CePr10Sm4

CePr10Sm4 after structural relaxation (GGA-PBE, Alexandria via LeMat-Bulk).

Its calculated formation energy is 0.225 eV per atom. Its symmetry is I4/mmm, No. 139.

Structure (POSCAR):
```
CePr10Sm4
1.0
7.359 0.000 3.323
3.680 8.172 1.662
0.317 0.000 9.109
Sm Pr Ce
4 10 1
Direct
0.227 0.000 0.545
0.773 0.000 0.455
0.228 0.545 0.000
0.772 0.455 0.000
0.289 0.788 0.212
0.711 0.212 0.788
0.499 0.212 0.212
0.711 0.788 0.212
0.077 0.212 0.212
0.250 0.500 0.500
0.501 0.788 0.788
0.750 0.500 0.500
0.289 0.212 0.788
0.923 0.788 0.788
0.000 0.000 0.000
```

=====

Entry 6:
# RbSb2Se4

RbSb2Se4 after structural relaxation (GGA-PBE, Alexandria via LeMat-Bulk).

Its symmetry is P1, No. 1.

Structure (POSCAR):
```
RbSb2Se4
1.0
7.131 0.529 -2.405
-3.073 7.103 -2.865
0.052 -0.524 9.711
Rb Sb Se
2 4 8
Direct
0.985 0.038 0.978
0.241 0.833 0.543
0.693 0.400 0.367
0.611 0.891 0.260
0.110 0.366 0.737
0.648 0.399 0.838
0.944 0.680 0.114
0.180 0.516 0.064
0.418 0.256 0.944
0.430 0.591 0.763
0.922 0.602 0.692
0.730 0.861 0.520
0.925 0.191 0.338
0.414 0.126 0.343
```

=====

Entry 7:
# LiVGa2

LiVGa2 after structural relaxation (GGA-PBE, Alexandria via LeMat-Bulk).

Its calculated formation energy is -0.246 eV per atom. Its symmetry is P4/mmm, No. 123.

Structure (POSCAR):
```
LiVGa2
1.0
-2.104 0.752 1.663
-2.950 -1.769 -2.933
0.264 -3.976 2.133
Ga V Li
2 1 1
Direct
0.000 0.500 0.000
0.000 0.000 0.500
0.500 0.500 0.500
0.500 0.000 0.000
```

=====

Entry 8:
# BeCu2W

BeCu2W after structural relaxation (GGA-PBE, Alexandria via LeMat-Bulk).

Its calculated formation energy is 0.297 eV per atom. Its symmetry is Cm, No. 8.

Structure (POSCAR):
```
BeCu2W
1.0
4.730 -0.007 -0.042
4.051 2.442 -0.042
1.524 0.423 4.279
W Cu Be
1 2 1
Direct
0.522 0.522 0.435
0.737 0.737 0.793
0.972 0.972 0.970
0.270 0.270 0.303
```

=====

Entry 9:
# CoW2

CoW2 after structural relaxation (GGA-PBE, Alexandria via LeMat-Bulk).

Its calculated formation energy is 0.278 eV per atom. Its symmetry is Cmcm, No. 63.

Structure (POSCAR):
```
CoW2
1.0
-5.310 0.655 -5.374
4.789 -3.195 4.936
-3.154 0.106 3.129
W Co
4 2
Direct
0.552 0.448 0.250
0.448 0.552 0.750
0.866 0.134 0.250
0.134 0.866 0.750
0.781 0.219 0.750
0.219 0.781 0.250
```

=====

Entry 10:
# HfInFePd

HfInFePd after structural relaxation (GGA-PBE, Alexandria via LeMat-Bulk).

Its calculated formation energy is -0.320 eV per atom. Its symmetry is F-43m, No. 216.

Structure (POSCAR):
```
HfInFePd
1.0
-0.882 -0.955 -4.371
-3.973 -1.917 -1.158
-3.122 2.421 -2.278
Fe In Pd Hf
1 1 1 1
Direct
0.250 0.250 0.250
0.000 0.000 0.000
0.750 0.750 0.750
0.500 0.500 0.500
```

=====

Entry 11:
# NaGaPb

NaGaPb after structural relaxation (GGA-PBE, Alexandria via LeMat-Bulk).

Its calculated formation energy is -0.007 eV per atom. Its symmetry is Cmcm, No. 63.

Structure (POSCAR):
```
NaGaPb
1.0
-1.403 5.949 -0.444
1.391 -3.399 4.905
5.743 1.300 -0.728
Pb Ga Na
2 2 2
Direct
0.079 0.921 0.750
0.921 0.079 0.250
0.500 0.500 0.500
0.500 0.500 0.000
0.777 0.223 0.750
0.223 0.777 0.250
```

=====

Entry 12:
# BaGeIrO5

BaGeIrO5 after structural relaxation (GGA-PBE, Alexandria via LeMat-Bulk).

Its symmetry is C2/c, No. 15.

Structure (POSCAR):
```
BaGeIrO5
1.0
-3.414 -3.192 -3.703
-0.823 -2.199 5.481
-3.149 6.713 0.163
Ba O Ir Ge
2 10 2 2
Direct
0.342 0.658 0.250
0.658 0.342 0.750
0.386 0.223 0.080
0.107 0.704 0.896
0.939 0.061 0.750
0.223 0.386 0.580
0.296 0.893 0.604
0.777 0.614 0.420
0.704 0.107 0.396
0.614 0.777 0.920
0.061 0.939 0.250
0.893 0.296 0.104
0.000 0.000 0.000
0.000 0.000 0.500
0.302 0.698 0.750
0.698 0.302 0.250
```

=====

Entry 13:
# K3Na2Hg3

K3Na2Hg3 after structural relaxation (GGA-PBE, Alexandria via LeMat-Bulk).

Its calculated formation energy is -0.197 eV per atom. Its symmetry is Cmcm, No. 63.

Structure (POSCAR):
```
K3Na2Hg3
1.0
5.053 0.000 0.000
-2.527 7.137 0.000
0.000 0.000 16.987
Na K Hg
4 6 6
Direct
0.226 0.452 0.421
0.774 0.548 0.579
0.774 0.548 0.921
0.226 0.452 0.079
0.937 0.873 0.382
0.063 0.127 0.618
0.063 0.127 0.882
0.358 0.715 0.750
0.642 0.285 0.250
0.937 0.873 0.118
0.598 0.196 0.465
0.335 0.670 0.250
0.598 0.196 0.035
0.402 0.804 0.535
0.665 0.330 0.750
0.402 0.804 0.965
```

=====

Entry 14:
# AlCd3Te

AlCd3Te after structural relaxation (GGA-PBE, Alexandria via LeMat-Bulk).

Its symmetry is Pm-3m, No. 221.

Structure (POSCAR):
```
AlCd3Te
1.0
5.265 0.000 0.000
0.000 5.265 0.000
0.000 0.000 5.265
Cd Al Te
3 1 1
Direct
0.500 0.000 0.000
0.000 0.500 0.000
0.000 0.000 0.500
0.000 0.000 0.000
0.500 0.500 0.500
```

=====

Entry 15:
# CrSiPt2

CrSiPt2 after structural relaxation (GGA-PBE, Alexandria via LeMat-Bulk).

Its symmetry is P2/m, No. 10.

Structure (POSCAR):
```
CrSiPt2
1.0
3.874 0.000 0.000
0.000 2.875 -0.004
0.000 1.517 5.367
Pt Cr Si
2 1 1
Direct
0.000 0.379 0.490
0.000 0.121 0.010
0.500 0.750 0.750
0.500 0.250 0.250
```

=====

Entry 16:
# Mg16Al12Pt

Mg16Al12Pt after structural relaxation (GGA-PBE, Alexandria via LeMat-Bulk).

Its calculated formation energy is -0.103 eV per atom. Its symmetry is Cm, No. 8.

Structure (POSCAR):
```
Mg16Al12Pt
1.0
-7.638 -1.488 -4.551
6.841 -3.894 -4.395
-1.473 -8.902 -0.551
Al Mg Pt
12 16 1
Direct
0.652 0.835 0.981
0.820 0.200 0.813
0.635 0.007 0.179
0.001 0.814 0.361
0.368 0.183 0.633
0.184 0.184 0.192
0.183 0.368 0.633
0.007 0.635 0.179
0.814 0.001 0.361
0.200 0.820 0.813
0.362 0.362 0.827
0.835 0.652 0.981
0.617 0.617 0.333
0.714 0.406 0.598
0.678 0.297 0.310
0.694 0.694 0.703
0.297 0.678 0.310
0.406 0.714 0.598
0.004 0.354 0.003
0.583 0.334 0.015
0.998 0.998 0.003
0.354 0.004 0.003
0.602 0.005 0.678
0.334 0.583 0.015
0.317 0.999 0.400
0.010 0.010 0.648
0.999 0.317 0.400
0.005 0.602 0.678
0.323 0.323 0.356
```

=====

| no. | final energy (eV/atom) |
| --- | --- |
| 1 | -4.527 |
| 2 | -4.090 |
| 3 | -3.221 |
| 4 | -6.668 |
| 5 | -4.616 |
| 6 | -3.765 |
| 7 | -4.517 |
| 8 | -5.921 |
| 9 | -10.726 |
| 10 | -6.907 |
| 11 | -2.692 |
| 12 | -6.638 |
| 13 | -1.051 |
| 14 | -1.639 |
| 15 | -7.061 |
| 16 | -2.739 |